The following is a DFT calculation (PBE) of an optimized crystal structure of Hf2AlSn.

Properties
E_form = -0.263 eV/atom
Total magnetic moment = 0.00 μB per cell
E = -57.4 eV/cell

Cell: 5.4240 5.5701 5.5701 Å, 101.50 90.00 90.00°
Last column: nearest neighbours and their distance in Å.
Fractional coordinates of all 8 atoms:
Hf 0.7500 0.0186 0.6298  4 Sn 2.85-3.19, 2 Hf 3.06, 2 Al 3.14
Hf 0.2500 0.9814 0.3702  4 Sn 2.85-3.19, 2 Hf 3.06, 2 Al 3.14
Hf 0.2500 0.3702 0.9814  4 Sn 2.85-3.19, 2 Hf 3.06, 2 Al 3.14
Hf 0.7500 0.6298 0.0186  4 Sn 2.85-3.19, 2 Hf 3.06, 2 Al 3.14
Al 0.0000 0.5000 0.5000  2 Al 2.71, 2 Sn 2.80
Al 0.5000 0.5000 0.5000  2 Al 2.71, 2 Sn 2.80
Sn 0.7500 0.1519 0.1519  2 Al 2.80, 4 Hf 2.85-2.90
Sn 0.2500 0.8481 0.8481  2 Al 2.80, 4 Hf 2.85-2.90

=====

The following is a DFT calculation (PBE) of an optimized crystal structure of ErGa4Co2Ni.

Properties
E_form = -0.383 eV/atom
Total magnetic moment = 0.00 μB per cell
E = -39.7 eV/cell

Cell: 4.0628 4.0628 8.7812 Å, 76.62 76.62 60.00°
Last column: nearest neighbours and their distance in Å.
Fractional coordinates of all 8 atoms:
Er 0.0000 0.0000 0.0000  6 Ga 2.93
Ga 0.4024 0.4024 0.7929  1 Ni 2.48, 3 Co 2.49
Ga 0.8692 0.8692 0.3925  4 Co 2.45-2.54, 3 Ni 2.52
Ga 0.1308 0.1308 0.6075  4 Co 2.45-2.54, 3 Ni 2.52
Ga 0.5976 0.5976 0.2071  1 Ni 2.48, 3 Co 2.49
Co 0.7691 0.7691 0.6928  7 Ga 2.45-2.54
Co 0.2309 0.2309 0.3072  7 Ga 2.45-2.54
Ni 0.5000 0.5000 0.5000  8 Ga 2.48-2.52

=====

The following is a DFT calculation (PBE) of an optimized crystal structure of GaCo2Rh.

Properties
E_form = 0.173 eV/atom
Total magnetic moment = 7.62 μB per cell
E = -47.8 eV/cell

Cell: 3.5083 3.5083 9.3185 Å, 79.15 79.15 90.00°
Last column: nearest neighbours and their distance in Å.
Fractional coordinates of all 8 atoms:
Co 0.6000 0.1250 0.2500  4 Co 2.36-2.61, 2 Ga 2.54, 2 Rh 2.60
Co 0.1500 0.6250 0.2500  4 Co 2.36-2.61, 2 Ga 2.54, 2 Rh 2.60
Co 0.3750 0.4000 0.7500  4 Co 2.36-2.61, 2 Ga 2.54, 2 Rh 2.60
Co 0.8750 0.8500 0.7500  4 Co 2.36-2.61, 2 Ga 2.54, 2 Rh 2.60
Rh 0.0000 0.0000 0.0000  4 Ga 2.48, 4 Co 2.60
Rh 0.7500 0.2500 0.5000  4 Ga 2.48, 4 Co 2.60
Ga 0.5000 0.5000 0.0000  4 Rh 2.48, 4 Co 2.54
Ga 0.2500 0.7500 0.5000  4 Rh 2.48, 4 Co 2.54